VASP calculation (GGA-PBEsol) on an optimized crystal structure of Sb2O5.

Lattice parameters (Å, degrees): 5.4403 5.4403 9.6833 90.00 90.00 137.32
Element x y z (fractional)
Sb 0.1348 0.8652 0.5643
Sb 0.1348 0.8652 0.9357
Sb 0.8652 0.1348 0.0643
Sb 0.8652 0.1348 0.4357
O 0.0502 0.9498 0.1209
O 0.0502 0.9498 0.3791
O 0.2095 0.7905 0.7500
O 0.3159 0.6841 0.0363
O 0.3159 0.6841 0.4637
O 0.6841 0.3159 0.5363
O 0.6841 0.3159 0.9637
O 0.7905 0.2095 0.2500
O 0.9498 0.0502 0.6209
O 0.9498 0.0502 0.8791

energy relative to the elements, uncorrected	-1.234	eV/atom
total energy	-6.286	eV per atom
energy above the most stable polymorph in this dataset	60.3	meV per atom
symmetry	Cmcm